<A>
LiTmPt: relaxed, PBE.

The calculation puts the calculated volume at 18.9 Å³ per atom. The spin magnetization is 0.00 Bohr magnetons per cell.

The structure belongs to space group I4mm (No. 107); the cell edges are 3.583, 3.583 and 8.842 Å and the angles 90.00°, 90.00° and 90.00°. The distinct sites, in fractional coordinates, are Li at (0.000, 0.000, 0.000), Tm at (0.000, 0.000, 0.307) and Pt at (0.000, 0.000, 0.654).


<B>
LiTmPt: relaxed, PBE.

The calculation puts the calculated volume at 19.8 Å³ per atom. The spin magnetization is 0.00 Bohr magnetons per cell.

The structure belongs to space group P6_3/mmc (No. 194); the cell edges are 4.9341, 4.9341 and 5.6330 Å and the angles 90.00°, 90.00° and 120.00°. The distinct sites, in fractional coordinates, are Li at (0.0000, 0.0000, 0.0000), Tm at (0.3333, 0.6667, 0.2500) and Pt at (0.3333, 0.6667, 0.7500).


Of them, <A> has the lowest stability.